La4HoTm15 | PBE | optimized geometry

abc: 5.0263 5.0263 24.9587
angles: 90.00 90.00 90.00
Atoms (fractional coordinates):
La 0.0000 0.0000 0.1007
La 0.0000 0.0000 0.3004
La 0.0000 0.0000 0.6996
La 0.0000 0.0000 0.8993
Ho 0.0000 0.0000 0.5000
Tm 0.0000 0.5000 0.0000
Tm 0.0000 0.5000 0.2012
Tm 0.0000 0.5000 0.4029
Tm 0.0000 0.5000 0.5971
Tm 0.0000 0.5000 0.7988
Tm 0.5000 0.0000 0.0000
Tm 0.5000 0.0000 0.2012
Tm 0.5000 0.0000 0.4029
Tm 0.5000 0.0000 0.5971
Tm 0.5000 0.0000 0.7988
Tm 0.5000 0.5000 0.1004
Tm 0.5000 0.5000 0.3020
Tm 0.5000 0.5000 0.5000
Tm 0.5000 0.5000 0.6980
Tm 0.5000 0.5000 0.8996

Properties
**Magnetization**: 0.00 μB/f.u.
**E_form**: 39 meV/atom

LaHo5Tm6 | PBE | optimized geometry

abc: 6.1047 6.1047 11.6704
angles: 95.00 95.00 119.97
Atoms (fractional coordinates):
La 0.0000 0.0000 0.0000
Ho 0.1669 0.8331 0.5000
Ho 0.3333 0.6667 0.0000
Ho 0.5000 0.5000 0.5000
Ho 0.6667 0.3333 0.0000
Ho 0.8331 0.1669 0.5000
Tm 0.0839 0.4185 0.2527
Tm 0.2509 0.2509 0.7473
Tm 0.4185 0.0839 0.2527
Tm 0.5815 0.9161 0.7473
Tm 0.7491 0.7491 0.2527
Tm 0.9161 0.5815 0.7473

Properties
**Magnetization**: 0.00 μB/f.u.
**E_form**: 26 meV/atom

La2Ho3Tm4 | PBE | optimized geometry

abc: 7.9663 7.9663 7.9566
angles: 107.40 107.40 36.91
Atoms (fractional coordinates):
La 0.1648 0.1648 0.0001
La 0.8352 0.8352 0.9999
Ho 0.3904 0.3904 0.3375
Ho 0.5000 0.5000 0.0000
Ho 0.6096 0.6096 0.6625
Tm 0.0569 0.0569 0.3401
Tm 0.2777 0.2777 0.6608
Tm 0.7223 0.7223 0.3392
Tm 0.9431 0.9431 0.6599

Properties
**Magnetization**: 0.00 μB/f.u.
**Energy above the lowest structure with this stoichiometry**: 0 meV per atom
**E_form**: 36 meV/atom

Q: Among the records above, which one has the lowest E_form?
A: LaHo5Tm6

Q: The highest E_form belongs to which entry?
A: La4HoTm15

Q: Among the records above, which one has the highest E_form?
A: La4HoTm15

Q: Which value of magnetization does entry 1 give?
A: 0.00 μB/f.u.